1.
DFT (PBE) results for a relaxed structure of DyZrSc.

Cell and atoms, written as POSCAR:
```
DyZrSc
1.0
3.2613 0.0001 -0.5755
0.0000 5.1701 0.0004
-1.6608 -0.0008 9.6567
Dy Zr Sc
2 2 2
direct
0.6402 0.7500 0.3900
0.3598 0.2500 0.6100
0.8043 0.7500 0.0538
0.1957 0.2500 0.9462
0.0131 0.7500 0.7624
0.9869 0.2500 0.2376
```

Symmetry: Pmmn
Crystal system: orthorhombic
E above lowest polymorph in kJ/mol of atoms: 0.0



2.
DFT (PBE) results for a relaxed structure of NbSiH.

Cell and atoms, written as POSCAR:
```
NbSiH
1.0
-1.9142 -1.3782 2.4420
-1.4125 -3.6971 -3.1937
4.7996 0.3045 1.5739
H Nb Si
2 2 2
direct
0.8187 0.3187 0.6373
0.1813 0.6813 0.3627
0.2014 0.2014 0.4028
0.7986 0.7986 0.5972
0.5000 0.7447 0.0000
0.5000 0.2553 0.0000
```

Symmetry: Immm
Crystal system: orthorhombic
E above lowest polymorph in kJ/mol of atoms: 9.2



3.
DFT (PBE) results for a relaxed structure of GeSbOF2.

Cell and atoms, written as POSCAR:
```
GeSbOF2
1.0
-0.1626 3.0636 3.3020
-4.0137 1.4012 -1.4976
-1.9601 -2.8709 2.5671
Sb Ge O F
1 1 1 2
direct
0.0000 0.0000 0.0000
0.5000 0.5000 0.5000
0.0000 0.0000 0.5000
0.0000 0.5000 0.0000
0.5000 0.0000 0.0000
```

Formation energy without anion corrections in eV/atom: -0.972
Symmetry: P4/mmm
Crystal system: tetragonal
E above lowest polymorph in kJ/mol of atoms: 0.0



4.
DFT (PBE) results for a relaxed structure of Np2I2O.

Cell and atoms, written as POSCAR:
```
Np2I2O
1.0
-3.0801 -1.7542 -1.2187
-1.1169 -0.5003 3.5428
-7.0701 12.7151 -0.4334
Np I O
2 2 1
direct
0.5000 0.5000 0.1415
0.5000 0.5000 0.8585
0.5000 0.5000 0.6596
0.5000 0.5000 0.3404
0.5000 0.5000 0.0000
```

Formation energy without anion corrections in eV/atom: -0.414
Symmetry: P4/mmm
Crystal system: tetragonal



5.
DFT (PBE) results for a relaxed structure of ScCd2Si.

Cell and atoms, written as POSCAR:
```
ScCd2Si
1.0
3.2849 0.0052 0.0000
-0.0040 3.2849 0.0000
0.0000 0.0000 7.7292
Cd Sc Si
2 1 1
direct
0.0000 0.0000 0.9829
0.0000 0.0000 0.5171
0.5000 0.5000 0.2500
0.5000 0.5000 0.7500
```

Formation energy without anion corrections in eV/atom: 0.070
Symmetry: P4/mmm
Crystal system: tetragonal



6.
DFT (PBE) results for a relaxed structure of CePm3Nd3Se8.

Cell and atoms, written as POSCAR:
```
CePm3Nd3Se8
1.0
8.4104 0.0000 0.0000
-4.2052 7.2837 -0.0248
0.0000 -4.8323 6.8788
Ce Pm Nd Se
1 3 3 8
direct
0.0000 0.0000 0.5000
0.5000 0.0000 0.5000
0.5000 0.5000 0.5000
0.0000 0.5000 0.5000
0.0000 0.0000 0.0000
0.0000 0.5000 0.0000
0.5000 0.5000 0.0000
0.2506 0.5012 0.2526
0.7494 0.4988 0.7474
0.7468 0.4937 0.2493
0.2532 0.5063 0.7507
0.7474 0.0021 0.2489
0.2526 0.9979 0.7511
0.2547 0.0021 0.2489
0.7453 0.9979 0.7511
```

Formation energy without anion corrections in eV/atom: -1.860
Symmetry: R-3m
Crystal system: trigonal



7.
DFT (PBE) results for a relaxed structure of CePuCd2.

Cell and atoms, written as POSCAR:
```
CePuCd2
1.0
-0.2173 -2.3266 -2.5341
-1.1385 -5.5036 5.1505
-6.3920 3.8018 -2.9422
Ce Pu Cd
2 2 4
direct
0.7500 0.2932 0.3858
0.2500 0.7068 0.6142
0.2500 0.1134 0.5532
0.7500 0.8866 0.4468
0.2500 0.4869 0.1484
0.7500 0.5131 0.8516
0.7500 0.1143 0.9089
0.2500 0.8857 0.0911
```

Symmetry: P2_1/m
Crystal system: monoclinic
E above lowest polymorph in kJ/mol of atoms: 14.9



8.
DFT (PBE) results for a relaxed structure of PrErTm2Th.

Cell and atoms, written as POSCAR:
```
PrErTm2Th
1.0
5.6090 0.0000 0.0000
0.0000 8.5334 1.4499
0.0000 -1.1716 6.9542
Pr Er Tm Th
2 2 4 2
direct
0.0000 0.0000 0.0000
0.0000 0.0000 0.5000
0.0000 0.5000 0.7500
0.0000 0.5000 0.2500
0.5001 0.6775 0.0009
0.5001 0.3225 0.4991
0.4999 0.6775 0.5009
0.4999 0.3225 0.9991
0.5000 0.0000 0.2500
0.5000 0.0000 0.7500
```

Symmetry: P2/m
Final energy in eV per atom: -4.82
Crystal system: monoclinic



9.
DFT (PBE) results for a relaxed structure of HfTc2Ge3.

Cell and atoms, written as POSCAR:
```
HfTc2Ge3
1.0
4.2451 0.0000 0.0000
0.0000 5.7751 0.0000
0.0000 0.0000 8.2427
Hf Tc Ge
2 4 6
direct
0.0000 0.9850 0.8985
0.0000 0.4850 0.1015
0.0000 0.9753 0.2327
0.5000 0.0456 0.4562
0.0000 0.4753 0.7673
0.5000 0.5456 0.5438
0.5000 0.1649 0.1297
0.5000 0.2091 0.7482
0.0000 0.3214 0.4439
0.5000 0.6649 0.8703
0.5000 0.7091 0.2518
0.0000 0.8214 0.5561
```

Symmetry: Pmc2_1
Final energy in eV per atom: -7.62
Crystal system: orthorhombic



10.
DFT (PBE) results for a relaxed structure of ScInAu2.

Cell and atoms, written as POSCAR:
```
ScInAu2
1.0
5.0308 -0.4367 -0.3672
1.6230 4.7818 0.3672
-3.1250 -2.4817 3.1161
Au In Sc
2 1 1
direct
0.9999 0.9999 0.0000
0.2500 0.7500 0.5000
0.5000 0.5000 0.0000
0.7501 0.2501 0.5000
```

Symmetry: I-4m2
Final energy in eV per atom: -4.38
Crystal system: tetragonal



11.
DFT (PBE) results for a relaxed structure of Sr2PrUP4.

Cell and atoms, written as POSCAR:
```
Sr2PrUP4
1.0
4.2104 0.0000 0.0000
0.0000 7.2607 0.1307
0.0000 -2.5334 6.9185
Sr Pr U P
2 1 1 4
direct
0.5000 0.0000 0.5000
0.0000 0.5000 0.5000
0.0000 0.0000 0.0000
0.5000 0.5000 0.0000
0.5000 0.2619 0.2204
0.5000 0.7381 0.7796
0.0000 0.2780 0.7864
0.0000 0.7220 0.2136
```

Symmetry: P2/m
Final energy in eV per atom: -6.29
Crystal system: monoclinic



12.
DFT (PBE) results for a relaxed structure of K2RbBr2.

Cell and atoms, written as POSCAR:
```
K2RbBr2
1.0
-5.9986 1.1991 1.4083
-0.2153 -5.1997 3.5102
-0.5977 2.5156 9.3026
K Br Rb
2 2 1
direct
0.7500 0.2500 0.5000
0.2500 0.7500 0.5000
0.1992 0.1992 0.6017
0.8008 0.8008 0.3983
0.0000 0.0000 0.0000
```

Formation energy without anion corrections in eV/atom: -1.282
Symmetry: I4/mmm
Crystal system: tetragonal
E above lowest polymorph in kJ/mol of atoms: 0.0



Number 1: spin magnetization 0.0 Bohr magnetons per cell. Number 2: spin magnetization 0.0 Bohr magnetons per cell. Number 3: spin magnetization 1.0 Bohr magnetons per cell. Number 4: spin magnetization 9.1 Bohr magnetons per cell. Number 5: spin magnetization 0.5 Bohr magnetons per cell. Number 6: spin magnetization 1.5 Bohr magnetons per cell. Number 7: spin magnetization 0.0 Bohr magnetons per cell. Number 8: spin magnetization 0.0 Bohr magnetons per cell. Number 9: spin magnetization 0.0 Bohr magnetons per cell. Number 10: spin magnetization 0.0 Bohr magnetons per cell. Number 11: spin magnetization 1.0 Bohr magnetons per cell. Number 12: spin magnetization 0.0 Bohr magnetons per cell.